Density functional theory data (PBE+U) for a geometry-optimized KHgMo2O8 structure.

Its calculated total energy is -5.788 eV per atom. Its theoretical density is 4470 kg/m³. The size of the total moment comes out at 1.122 μB per formula unit. The crystal system is tetragonal. Its density of states at the Fermi level is 12.39 states/eV per cell.

Geometry as POSCAR:
```
KHgMo2O8
1.0
-3.8327 3.8327 3.5375
3.8327 -3.8327 3.5375
3.8327 3.8327 -3.5375
K Hg Mo O
1 1 2 8
direct
0.0000 0.0000 0.0000
0.2500 0.7500 0.5000
0.5000 0.5000 0.0000
0.7500 0.2500 0.5000
0.3530 0.1602 0.8072
0.3530 0.5457 0.1928
0.4097 0.0937 0.3161
0.4543 0.6470 0.8072
0.7776 0.0937 0.6839
0.8398 0.6470 0.1928
0.9063 0.2224 0.3161
0.9063 0.5903 0.6839
```